No. 1
Ta2OsPb, relaxed, DFT PBE; ΔE_f = 0.426 eV/atom; calculated total energy = -9.235 eV/atom
1.0
5.8051 0.0000 0.0000
0.0000 8.2942 0.0000
0.0000 0.0000 3.0340
Ta Os Pb
4 2 2
direct
0.2500 0.2500 0.0000
0.2500 0.7500 0.0000
0.7500 0.2500 0.0000
0.7500 0.7500 0.0000
0.0000 0.0000 0.5000
0.5000 0.5000 0.5000
0.0000 0.5000 0.5000
0.5000 0.0000 0.5000

No. 2
Pm5Pr4Sm3, relaxed, DFT PBE; ΔE_f = 0.013 eV/atom; E above lowest polymorph = 0 meV/atom; calculated total energy = -4.740 eV/atom
1.0
6.3543 0.0000 0.0000
-0.0034 7.3248 0.0000
-0.0115 -0.0051 8.9893
Pm Pr Sm
5 4 3
direct
0.0000 0.0000 0.0000
0.3336 0.5000 0.3325
0.4991 0.2514 0.9997
0.5009 0.7486 0.0003
0.6664 0.5000 0.6675
0.1659 0.7484 0.6676
0.3336 0.9994 0.3322
0.6664 0.0006 0.6678
0.8341 0.2516 0.3324
0.0000 0.5000 0.0000
0.1667 0.2514 0.6678
0.8333 0.7486 0.3322

No. 3
MgMoRu2, relaxed, DFT PBE; ΔE_f = 0.506 eV/atom; calculated total energy = -7.239 eV/atom
1.0
7.0220 0.0000 0.0000
0.0000 7.0220 0.0000
0.0000 0.0000 5.6087
Mg Mo Ru
4 4 8
direct
0.0000 0.0000 0.0000
0.0000 0.5000 0.2500
0.5000 0.0000 0.7500
0.5000 0.5000 0.5000
0.0000 0.0000 0.5000
0.0000 0.5000 0.7500
0.5000 0.0000 0.2500
0.5000 0.5000 0.0000
0.2102 0.2500 0.6250
0.2500 0.7102 0.8750
0.2500 0.7898 0.3750
0.2898 0.2500 0.1250
0.7102 0.7500 0.1250
0.7500 0.2102 0.3750
0.7500 0.2898 0.8750
0.7898 0.7500 0.6250

No. 4
Co2Re3, relaxed, DFT PBE; ΔE_f = 0.150 eV/atom; E above lowest polymorph = 43 meV/atom; calculated total energy = -10.161 eV/atom
1.0
2.6887 0.0000 0.0000
-1.3444 2.3285 0.0000
0.0000 0.0000 32.1402
Co Re
6 9
direct
0.0000 0.0000 0.1015
0.0000 0.0000 0.8985
0.3333 0.6667 0.5651
0.3333 0.6667 0.7682
0.6667 0.3333 0.2318
0.6667 0.3333 0.4349
0.0000 0.0000 0.2976
0.0000 0.0000 0.5000
0.0000 0.0000 0.7024
0.3333 0.6667 0.1667
0.3333 0.6667 0.3690
0.3333 0.6667 0.9643
0.6667 0.3333 0.0357
0.6667 0.3333 0.6310
0.6667 0.3333 0.8333

No. 5
CsHg3Br7, relaxed, DFT PBE; formation energy (no corrections) = -0.686 eV/atom; calculated total energy = -1.911 eV/atom
1.0
5.5406 -5.7318 0.0000
5.5406 5.7318 0.0000
-0.8520 0.0000 7.1895
Cs Hg Br
1 3 7
direct
0.0000 0.0000 0.0000
0.2584 0.7416 0.5000
0.5000 0.5000 0.0000
0.7416 0.2584 0.5000
0.0000 0.0000 0.5000
0.1512 0.5834 0.7524
0.3408 0.3408 0.2166
0.4166 0.8488 0.2476
0.5834 0.1512 0.7524
0.6592 0.6592 0.7834
0.8488 0.4166 0.2476

No. 6
PrNiPd, relaxed, DFT PBE; ΔE_f = -0.273 eV/atom; calculated total energy = -5.524 eV/atom
1.0
8.8945 0.0000 0.0000
0.0000 5.6343 0.0000
-2.0800 0.0000 4.6075
Pr Ni Pd
4 4 4
direct
0.1326 0.0000 0.3667
0.3674 0.5000 0.6333
0.6326 0.5000 0.3667
0.8674 0.0000 0.6333
0.0266 0.5000 0.2710
0.4734 0.0000 0.7290
0.5266 0.0000 0.2710
0.9734 0.5000 0.7290
0.2500 0.2500 0.0000
0.2500 0.7500 0.0000
0.7500 0.2500 0.0000
0.7500 0.7500 0.0000

No. 7
NaTb2Pr3Te6, relaxed, DFT PBE; formation energy (no corrections) = -1.374 eV/atom; calculated total energy = -5.021 eV/atom
1.0
9.7781 -2.2266 0.0000
9.7781 2.2266 0.0000
-2.1120 0.0000 8.7449
Na Tb Pr Te
1 2 3 6
direct
0.0000 0.0000 0.0000
0.3339 0.3339 0.6612
0.6661 0.6661 0.3388
0.0000 0.0000 0.5000
0.3389 0.3389 0.1766
0.6611 0.6611 0.8234
0.1678 0.1678 0.0912
0.1693 0.1693 0.5766
0.4947 0.4947 0.7545
0.5053 0.5053 0.2455
0.8307 0.8307 0.4234
0.8322 0.8322 0.9088

No. 8
Ga2Hg13, relaxed, DFT PBE; ΔE_f = 0.127 eV/atom; E above lowest polymorph = 74 meV/atom; calculated total energy = -0.538 eV/atom
1.0
4.8721 2.8129 7.0396
-4.8721 2.8129 7.0396
0.0000 -5.6258 7.0396
Ga Hg
2 13
direct
0.1258 0.1258 0.1258
0.8742 0.8742 0.8742
0.0000 0.0000 0.0000
0.1684 0.4936 0.4936
0.1731 0.7009 0.7009
0.2991 0.2991 0.8269
0.2991 0.8269 0.2991
0.4936 0.1684 0.4936
0.4936 0.4936 0.1684
0.5064 0.5064 0.8316
0.5064 0.8316 0.5064
0.7009 0.1731 0.7009
0.7009 0.7009 0.1731
0.8269 0.2991 0.2991
0.8316 0.5064 0.5064

No. 9
GeBi4S7, relaxed, DFT PBE; formation energy (no corrections) = -0.299 eV/atom; calculated total energy = -4.385 eV/atom
1.0
6.7156 -1.9710 0.0000
6.7156 1.9710 0.0000
-2.5384 0.0000 11.5799
Ge Bi S
1 4 7
direct
0.0000 0.0000 0.0000
0.1365 0.1365 0.4442
0.2500 0.2500 0.8881
0.4494 0.4494 0.6372
0.8216 0.8216 0.2641
0.0945 0.0945 0.6672
0.1816 0.1816 0.2249
0.4026 0.4026 0.0789
0.4850 0.4850 0.4015
0.6467 0.6467 0.9654
0.7958 0.7958 0.4905
0.8899 0.8899 0.8036

No. 10
Nd2HoAg, relaxed, DFT PBE; ΔE_f = -0.112 eV/atom; E above lowest polymorph = 0 meV/atom; calculated total energy = -4.353 eV/atom
1.0
3.7559 0.0000 0.0000
0.0000 12.4634 0.0000
0.0000 0.0000 10.1973
Nd Ho Ag
8 4 4
direct
0.0000 0.1314 0.0476
0.0000 0.1314 0.4524
0.0000 0.8686 0.5476
0.0000 0.8686 0.9524
0.5000 0.3686 0.5476
0.5000 0.3686 0.9524
0.5000 0.6314 0.0476
0.5000 0.6314 0.4524
0.0000 0.4425 0.2500
0.0000 0.5575 0.7500
0.5000 0.0575 0.7500
0.5000 0.9425 0.2500
0.0000 0.2543 0.7500
0.0000 0.7457 0.2500
0.5000 0.2457 0.2500
0.5000 0.7543 0.7500

No. 11
Li5Hg4Pt, relaxed, DFT PBE; ΔE_f = -0.391 eV/atom; calculated total energy = -2.072 eV/atom
1.0
3.2045 0.0000 0.0000
0.0000 3.2045 0.0000
0.0000 0.0000 16.8278
Li Hg Pt
5 4 1
direct
0.0000 0.0000 0.0000
0.0000 0.0000 0.2120
0.0000 0.0000 0.4214
0.0000 0.0000 0.5786
0.0000 0.0000 0.7880
0.5000 0.5000 0.1048
0.5000 0.5000 0.3188
0.5000 0.5000 0.6812
0.5000 0.5000 0.8952
0.5000 0.5000 0.5000

No. 12
LaNi6B3, relaxed, DFT PBE; ΔE_f = -0.200 eV/atom; calculated total energy = -6.165 eV/atom
1.0
2.5412 1.4672 5.0886
-2.5412 1.4672 5.0886
0.0000 -2.9343 5.0886
La Ni B
1 6 3
direct
0.0000 0.0000 0.0000
0.1265 0.5755 0.6712
0.4273 0.9331 0.4366
0.4366 0.4273 0.9331
0.5755 0.6712 0.1265
0.6712 0.1265 0.5755
0.9331 0.4366 0.4273
0.1721 0.1721 0.1721
0.3659 0.3659 0.3659
0.7006 0.7006 0.7006

No. 13
Pr2Dy2Th3, relaxed, DFT PBE; ΔE_f = 0.072 eV/atom; calculated total energy = -5.788 eV/atom
1.0
3.5566 0.0000 0.0000
0.0000 37.0676 0.0000
0.0000 0.0000 3.5646
Pr Dy Th
4 4 6
direct
0.0000 0.2074 0.0000
0.0000 0.7926 0.0000
0.5000 0.2926 0.0000
0.5000 0.7074 0.0000
0.0000 0.3643 0.5000
0.0000 0.6357 0.5000
0.5000 0.1357 0.5000
0.5000 0.8643 0.5000
0.0000 0.0680 0.0000
0.0000 0.5000 0.5000
0.0000 0.9320 0.0000
0.5000 0.0000 0.5000
0.5000 0.4320 0.0000
0.5000 0.5680 0.0000

No. 14
Ho5In2Rh2, relaxed, DFT PBE; ΔE_f = -0.590 eV/atom; calculated total energy = -5.376 eV/atom
1.0
8.1743 -3.7829 0.0000
8.1743 3.7829 0.0000
0.0000 0.0000 7.4661
Ho In Rh
10 4 4
direct
0.0000 0.0000 0.0000
0.0547 0.7114 0.6665
0.2114 0.5547 0.1665
0.2886 0.9453 0.6665
0.4453 0.7886 0.1665
0.5000 0.5000 0.5000
0.5547 0.2114 0.8335
0.7114 0.0547 0.3335
0.7886 0.4453 0.8335
0.9453 0.2886 0.3335
0.2211 0.2211 0.0000
0.2789 0.2789 0.5000
0.7211 0.7211 0.5000
0.7789 0.7789 0.0000
0.1338 0.8662 0.3652
0.3662 0.6338 0.8652
0.6338 0.3662 0.1348
0.8662 0.1338 0.6348

No. 15
NaZnGaHg2, relaxed, DFT PBE; ΔE_f = 0.465 eV/atom; E above lowest polymorph = 407 meV/atom; calculated total energy = -0.780 eV/atom
1.0
5.4917 0.0000 0.0000
0.0000 5.4917 0.0000
0.0000 0.0000 5.3312
Na Zn Ga Hg
1 1 1 2
direct
0.0000 0.0000 0.0000
0.0000 0.0000 0.5000
0.5000 0.5000 0.5000
0.0000 0.5000 0.0000
0.5000 0.0000 0.0000

No. 16
RbSnHg, relaxed, DFT PBE; ΔE_f = -0.075 eV/atom; E above lowest polymorph = 99 meV/atom; calculated total energy = -1.832 eV/atom
1.0
4.0787 0.0000 0.0000
0.0000 4.0787 0.0000
0.0000 0.0000 13.0823
Rb Sn Hg
2 2 2
direct
0.0000 0.0000 0.0000
0.5000 0.5000 0.5000
0.0000 0.0000 0.2865
0.5000 0.5000 0.7865
0.0000 0.0000 0.7068
0.5000 0.5000 0.2068

No. 17
GdErZnCo, relaxed, DFT PBE; ΔE_f = -0.225 eV/atom; calculated total energy = -6.981 eV/atom
1.0
6.8983 0.0000 0.0000
0.0000 6.8983 0.0000
0.0000 0.0000 6.8983
Gd Er Zn Co
4 4 4 4
direct
0.0000 0.0000 0.0000
0.0000 0.5000 0.5000
0.5000 0.0000 0.5000
0.5000 0.5000 0.0000
0.0000 0.0000 0.5000
0.0000 0.5000 0.0000
0.5000 0.0000 0.0000
0.5000 0.5000 0.5000
0.2500 0.2500 0.7500
0.2500 0.7500 0.2500
0.7500 0.2500 0.2500
0.7500 0.7500 0.7500
0.2500 0.2500 0.2500
0.2500 0.7500 0.7500
0.7500 0.2500 0.7500
0.7500 0.7500 0.2500

No. 18
SnMoI2N, relaxed, DFT PBE; E above lowest polymorph = 902 meV/atom; formation energy (no corrections) = 1.207 eV/atom; calculated total energy = -4.045 eV/atom
1.0
6.1212 0.0000 0.0000
0.0000 6.1212 0.0000
0.0000 0.0000 3.8780
Sn Mo I N
1 1 2 1
direct
0.0000 0.0000 0.0000
0.5000 0.5000 0.5000
0.0000 0.5000 0.0000
0.5000 0.0000 0.0000
0.0000 0.0000 0.5000

No. 19
TaBe2Tl, relaxed, DFT PBE; ΔE_f = 0.670 eV/atom; E above lowest polymorph = 313 meV/atom; calculated total energy = -4.748 eV/atom
1.0
5.7549 0.0000 0.0000
0.0000 8.4083 0.0000
-1.1485 0.0000 2.6017
Ta Be Tl
2 4 2
direct
0.0000 0.0000 0.0000
0.5000 0.5000 0.0000
0.2500 0.2500 0.5000
0.2500 0.7500 0.5000
0.7500 0.2500 0.5000
0.7500 0.7500 0.5000
0.0000 0.5000 0.0000
0.5000 0.0000 0.0000

No. 20
TiPCl3, relaxed, DFT PBE; E above lowest polymorph = 0 meV/atom; formation energy (no corrections) = -0.404 eV/atom; calculated total energy = -4.173 eV/atom
1.0
4.9101 0.0000 0.0000
0.0000 4.9101 0.0000
0.0000 0.0000 4.9101
Ti P Cl
1 1 3
direct
0.0000 0.0000 0.0000
0.5000 0.5000 0.5000
0.0000 0.0000 0.5000
0.0000 0.5000 0.0000
0.5000 0.0000 0.0000

no.,ρ (Mg/m³)
1,17.26
2,6.90
3,7.74
4,16.75
5,4.71
6,8.80
7,6.67
8,7.88
9,6.14
10,7.81
11,9.92
12,7.64
13,9.21
14,9.06
15,5.78
16,6.18
17,9.08
18,5.51
19,10.64
20,2.60